Here is crystalline PmSm4Dy at its relaxed geometry from the Alexandria database. Energies are from PBE.

Calculated values
**Energy of formation from the pure elements**: 262 meV per atom
**Volume**: 34.80 Å³ per atom
**Raw total energy**: -4.443 eV per atom
**Energy above the most stable polymorph in this dataset**: 247 meV per atom

a b c (Å): 9.417 9.417 9.417
angles (deg): 90.00 90.00 90.00
Space group F-43m (No. 216)
Asymmetric unit:
Pm 0.000 0.000 0.000 (multiplicity 4)
Sm 0.125 0.125 0.625 (multiplicity 16)
Dy 0.250 0.250 0.250 (multiplicity 4)